Below is MnZnBr2 after structural relaxation, with properties calculated at the GGA-PBE level.

Total DFT energy (no corrections): -3.773 eV per atom
ΔE_f (raw): -326 meV/atom
Distance to the lowest polymorph of the same formula: 22.9 meV per atom

abc: 3.6908 3.6908 26.8259
angles: 90.00 90.00 120.00
With the nearest neighbours (Å) after each atom.
Space group R3m (No. 160, hexagonal axes)
Symmetry-distinct sites (fractional):
Mn 0.0000 0.0000 0.0000  3 Br 2.65, 3 Zn 2.86
Zn 0.0000 0.0000 0.7376  3 Br 2.64, 3 Mn 2.86
Br 0.0000 0.0000 0.2746  3 Mn 2.65
Br 0.0000 0.0000 0.4625  3 Zn 2.64

Below is Hf4AlTc5 after structural relaxation, with properties calculated at the GGA-PBE level.

Total DFT energy (no corrections): -9.965 eV per atom
E_form: -0.426 eV/atom

abc: 3.2685 3.2685 15.7609
angles: 90.00 90.00 90.00
With the nearest neighbours (Å) after each atom.
Space group P4/mmm (No. 123)
Symmetry-distinct sites (fractional):
Hf 0.0000 0.0000 0.1032  8 Tc 2.83
Hf 0.0000 0.0000 0.3090  8 Tc 2.82-2.85, 1 Al 3.01
Al 0.0000 0.0000 0.5000  8 Tc 2.67
Tc 0.5000 0.5000 0.0000  8 Hf 2.83
Tc 0.5000 0.5000 0.2068  8 Hf 2.82-2.83
Tc 0.5000 0.5000 0.4149  4 Al 2.67, 1 Tc 2.68, 4 Hf 2.85

Below is RbBaTiMn2 after structural relaxation, with properties calculated at the GGA-PBE level.

Total DFT energy (no corrections): -3.834 eV per atom
E_form: 1.991 eV/atom

abc: 5.5775 5.5775 6.1737
angles: 90.00 90.00 90.00
With the nearest neighbours (Å) after each atom.
Space group P4/mmm (No. 123)
Symmetry-distinct sites (fractional):
Rb 0.0000 0.0000 0.0000  2 Ba 3.09
Ba 0.0000 0.0000 0.5000  4 Mn 2.79, 2 Rb 3.09
Ti 0.5000 0.5000 0.0000  4 Rb 3.94, 8 Mn 4.16
Mn 0.0000 0.5000 0.5000  2 Ba 2.79

Below is H8PtN2Cl2O2 after structural relaxation, with properties calculated at the GGA-PBE level.

Total DFT energy (no corrections): -4.847 eV per atom

abc: 6.5730 7.6430 6.5908
angles: 90.00 91.20 90.00
With the nearest neighbours (Å) after each atom.
Space group P2_1/m (No. 11)
Symmetry-distinct sites (fractional):
H 0.1137 0.0686 0.1488  1 N 1.04
H 0.1459 0.0768 0.4020  1 N 1.04
H 0.1633 0.7500 0.8977  1 O 0.99
H 0.1804 0.2500 0.6995  1 O 0.99
H 0.3475 0.0623 0.2535  1 N 1.03
Pt 0.1995 0.7500 0.2731  2 O 2.03, 2 N 2.07
N 0.2002 0.0202 0.2697  3 H 1.03-1.04
Cl 0.3494 0.7500 0.6010  1 H 2.33, 1 Pt 2.36
Cl 0.4831 0.2500 0.8844  1 H 2.31, 1 Pt 2.35
O 0.0540 0.7500 0.9979  1 H 0.99
O 0.0752 0.2500 0.5908  1 H 0.99

Below is K5Au after structural relaxation, with properties calculated at the GGA-PBE level.

Total DFT energy (no corrections): -1.557 eV per atom
E_form: -0.096 eV/atom
Distance to the lowest polymorph of the same formula: 9.2 meV per atom

abc: 4.2762 4.2762 18.2829
angles: 90.00 90.00 90.00
With the nearest neighbours (Å) after each atom.
Space group P4/mmm (No. 123)
Symmetry-distinct sites (fractional):
K 0.0000 0.0000 0.0000  12 K 4.28-4.72
K 0.0000 0.0000 0.4001  4 Au 3.53, 1 K 3.65
K 0.5000 0.5000 0.1979  12 K 4.28-4.78
Au 0.5000 0.5000 0.5000  8 K 3.53

Below is BP2C3 after structural relaxation, with properties calculated at the GGA-PBE level.

Total DFT energy (no corrections): -7.170 eV per atom
E_form: 0.359 eV/atom
Distance to the lowest polymorph of the same formula: 49.7 meV per atom

abc: 3.9060 3.9511 4.0632
angles: 64.93 89.89 88.98
With the nearest neighbours (Å) after each atom.
Space group P1 (No. 1)
Symmetry-distinct sites (fractional):
B 0.0000 0.0000 0.0000  2 C 1.64
P 0.3572 0.6870 0.9368  3 C 1.86-1.92, 1 B 1.94
P 0.8479 0.2624 0.5030  3 C 1.85-1.88, 1 B 1.93
C 0.1998 0.2024 0.2204  1 C 1.55, 1 B 1.64
C 0.5073 0.9612 0.4464  2 C 1.55-1.58
C 0.6837 0.7455 0.2393  1 C 1.58, 1 B 1.64

Below is ScS2ICl after structural relaxation, with properties calculated at the GGA-PBE level.

Total DFT energy (no corrections): -4.189 eV per atom
ΔE_f (raw): -593 meV/atom
Distance to the lowest polymorph of the same formula: 0.0 meV per atom

abc: 5.0937 5.0937 4.8369
angles: 90.00 90.00 90.00
With the nearest neighbours (Å) after each atom.
Space group P4/mmm (No. 123)
Symmetry-distinct sites (fractional):
Sc 0.0000 0.0000 0.0000  2 Cl 2.42, 4 S 2.55
S 0.0000 0.5000 0.0000  2 Sc 2.55
I 0.5000 0.5000 0.5000  8 S 3.51, 4 Cl 3.60
Cl 0.0000 0.0000 0.5000  2 Sc 2.42

Below is DyScPd2 after structural relaxation, with properties calculated at the GGA-PBE level.

Total DFT energy (no corrections): -6.234 eV per atom
E_form: -0.904 eV/atom
Distance to the lowest polymorph of the same formula: 0.0 meV per atom

abc: 3.5410 4.5920 10.0963
angles: 90.00 100.07 90.00
With the nearest neighbours (Å) after each atom.
Space group P2_1/m (No. 11)
Symmetry-distinct sites (fractional):
Dy 0.1878 0.2500 0.3766  7 Pd 2.94-3.17
Sc 0.0556 0.7500 0.1119  8 Pd 2.76-2.90
Pd 0.3383 0.2500 0.6753  2 Sc 2.76, 5 Dy 2.94-2.97
Pd 0.4440 0.7500 0.8875  6 Sc 2.85-2.90, 2 Pd 3.12, 2 Dy 3.17

Below is ErMg2Zn2Ge2 after structural relaxation, with properties calculated at the GGA-PBE level.

Total DFT energy (no corrections): -3.016 eV per atom
E_form: -0.225 eV/atom

abc: 4.5049 4.5049 22.8492
angles: 90.00 90.00 120.00
With the nearest neighbours (Å) after each atom.
Space group R-3m (No. 166, hexagonal axes)
Symmetry-distinct sites (fractional):
Er 0.0000 0.0000 0.0000  6 Ge 3.09, 2 Mg 3.16
Mg 0.0000 0.0000 0.1382  3 Zn 2.73, 4 Ge 2.80-3.00, 3 Mg 2.91
Zn 0.0000 0.0000 0.4348  3 Ge 2.68, 3 Mg 2.73, 1 Zn 2.98
Ge 0.0000 0.0000 0.2607  3 Zn 2.68, 4 Mg 2.80-3.00